The following is a GGA-PBE calculation of crystalline CaLa2TiO6 at its relaxed geometry, from Alexandria.

Cell lengths 5.747, 5.747, 5.747 Å; angles 61.77, 61.77, 61.77 degrees
Fractional coordinates of all 10 atoms:
Ca1 0.000 0.000 0.000
La1 0.263 0.263 0.263
La2 0.737 0.737 0.737
Ti1 0.500 0.500 0.500
O1 0.168 0.371 0.710
O2 0.290 0.832 0.629
O3 0.371 0.710 0.168
O4 0.629 0.290 0.832
O5 0.710 0.168 0.371
O6 0.832 0.629 0.290

Results
The calculation puts the uncorrected formation energy at -32.66 eV/f.u. The space group is No. 148. The crystal system is trigonal. As for the relative energy among the computed polymorphs: 27 meV/atom. As for the volume: 14.0 Å³/atom.

***

The following is a GGA-PBE calculation of crystalline La2HfMg at its relaxed geometry, from Alexandria.

Cell lengths 3.259, 3.259, 37.149 Å; angles 90.00, 90.00, 120.00 degrees
Fractional coordinates of all 12 atoms:
La1 0.000 0.000 0.084
La2 0.000 0.000 0.916
La3 0.333 0.667 0.583
La4 0.333 0.667 0.750
La5 0.667 0.333 0.250
La6 0.667 0.333 0.417
Hf1 0.000 0.000 0.000
Hf2 0.333 0.667 0.667
Hf3 0.667 0.333 0.333
Mg1 0.000 0.000 0.500
Mg2 0.333 0.667 0.167
Mg3 0.667 0.333 0.833

Results
The space group is No. 166. The crystal system is trigonal. As for the volume: 28.5 Å³/atom. The formation energy is 0.34 eV/atom.

***

The following is a GGA-PBE calculation of crystalline Y2CoB2 at its relaxed geometry, from Alexandria.

Cell lengths 6.403, 6.403, 3.712 Å; angles 90.00, 90.00, 90.00 degrees
Fractional coordinates of all 10 atoms:
Y1 0.190 0.310 0.000
Y2 0.310 0.810 0.000
Y3 0.690 0.190 0.000
Y4 0.810 0.690 0.000
Co1 0.000 0.000 0.500
Co2 0.500 0.500 0.500
B1 0.094 0.594 0.500
B2 0.406 0.094 0.500
B3 0.594 0.906 0.500
B4 0.906 0.406 0.500

Results
The space group is No. 127. The crystal system is tetragonal. As for the volume: 15.2 Å³/atom. The formation energy is -0.17 eV/atom.

***

The following is a GGA-PBE calculation of crystalline YZr2Os at its relaxed geometry, from Alexandria.

Cell lengths 8.039, 8.039, 6.000 Å; angles 90.00, 90.00, 90.00 degrees
Fractional coordinates of all 16 atoms:
Y1 0.000 0.000 0.000
Y2 0.000 0.500 0.250
Y3 0.500 0.000 0.750
Y4 0.500 0.500 0.500
Zr1 0.186 0.750 0.625
Zr2 0.250 0.186 0.375
Zr3 0.250 0.314 0.875
Zr4 0.314 0.750 0.125
Zr5 0.686 0.250 0.125
Zr6 0.750 0.686 0.875
Zr7 0.750 0.814 0.375
Zr8 0.814 0.250 0.625
Os1 0.000 0.000 0.500
Os2 0.000 0.500 0.750
Os3 0.500 0.000 0.250
Os4 0.500 0.500 0.000

Results
The space group is No. 122. The crystal system is tetragonal. As for the relative energy among the computed polymorphs: 308 meV/atom. As for the volume: 24.2 Å³/atom. The formation energy is 0.09 eV/atom.

***

The following is a GGA-PBE calculation of crystalline Sr3Zn2As2H4 at its relaxed geometry, from Alexandria.

Cell lengths 12.459, 12.459, 12.459 Å; angles 160.36, 160.36, 27.92 degrees
Fractional coordinates of all 11 atoms:
Sr1 0.000 0.000 0.000
Sr2 0.187 0.187 0.000
Sr3 0.813 0.813 0.000
Zn1 0.418 0.418 0.000
Zn2 0.582 0.582 0.000
As1 0.319 0.319 0.000
As2 0.681 0.681 0.000
H1 0.059 0.559 0.500
H2 0.441 0.941 0.500
H3 0.559 0.059 0.500
H4 0.941 0.441 0.500

Results
The calculation puts the uncorrected energy at -3.144 eV/atom. The space group is No. 139. The crystal system is tetragonal. As for the volume: 19.9 Å³/atom.

***

The following is a GGA-PBE calculation of crystalline CdIn3Sn3 at its relaxed geometry, from Alexandria.

Cell lengths 8.166, 8.166, 8.166 Å; angles 90.00, 90.00, 90.00 degrees
Fractional coordinates of all 14 atoms:
Cd1 0.000 0.000 0.000
Cd2 0.500 0.500 0.500
In1 0.000 0.250 0.500
In2 0.000 0.750 0.500
In3 0.250 0.500 0.000
In4 0.500 0.000 0.250
In5 0.500 0.000 0.750
In6 0.750 0.500 0.000
Sn1 0.000 0.500 0.250
Sn2 0.000 0.500 0.750
Sn3 0.250 0.000 0.500
Sn4 0.500 0.250 0.000
Sn5 0.500 0.750 0.000
Sn6 0.750 0.000 0.500

Results
The space group is No. 223. The crystal system is cubic. As for the relative energy among the computed polymorphs: 290 meV/atom. As for the volume: 38.9 Å³/atom. The formation energy is 0.33 eV/atom.

***

The following is a GGA-PBE calculation of crystalline Ho2Se2O at its relaxed geometry, from Alexandria.

Cell lengths 7.047, 7.047, 7.047 Å; angles 122.03, 78.29, 132.26 degrees
Fractional coordinates of all 10 atoms:
Ho1 0.098 0.205 0.304
Ho2 0.402 0.705 0.107
Ho3 0.598 0.295 0.893
Ho4 0.902 0.795 0.696
Se1 0.145 0.640 0.785
Se2 0.355 0.140 0.495
Se3 0.645 0.860 0.505
Se4 0.855 0.360 0.215
O1 0.250 0.250 0.000
O2 0.750 0.750 0.000

Results
The calculation puts the uncorrected formation energy at -12.24 eV/f.u. The space group is No. 72. The crystal system is orthorhombic. As for the relative energy among the computed polymorphs: 6 meV/atom. As for the volume: 21.3 Å³/atom.

***

The following is a GGA-PBE calculation of crystalline BaNaTeBr at its relaxed geometry, from Alexandria.

Cell lengths 13.401, 13.401, 13.401 Å; angles 22.42, 22.42, 22.42 degrees
Fractional coordinates of all 8 atoms:
Ba1 0.105 0.105 0.105
Ba2 0.895 0.895 0.895
Na1 0.306 0.306 0.306
Na2 0.694 0.694 0.694
Te1 0.388 0.388 0.388
Te2 0.612 0.612 0.612
Br1 0.196 0.196 0.196
Br2 0.804 0.804 0.804

Results
The calculation puts the uncorrected formation energy at -6.46 eV/f.u. The space group is No. 166. The crystal system is trigonal. As for the relative energy among the computed polymorphs: 0 meV/atom. As for the volume: 38.4 Å³/atom.